(1)
DFT (PBE) results for an optimized crystal structure of YCdSi2Pt.

a = 4.7346 Å, b = 5.1244 Å, c = 4.7346 Å
α = 90.00°, β = 90.00°, γ = 90.00°
With the nearest neighbours (Å) after each atom.
Fractional coordinates of all 5 atoms:
Y (0.5000, 0.5000, 0.5000)  4 Cd 3.35, 8 Si 3.49
Si (0.0000, 0.0000, 0.5000)  2 Pt 2.37
Si (0.5000, 0.0000, 0.0000)  2 Pt 2.37
Pt (0.0000, 0.0000, 0.0000)  4 Si 2.37, 2 Cd 2.56
Cd (0.0000, 0.5000, 0.0000)  2 Pt 2.56

Results
As for the space group: P4/mmm, No. 123. The calculation puts the density of states at the Fermi level at 4.65 states/eV/f.u. The uncorrected formation energy is 62 meV/atom.

(2)
DFT (PBE) results for an optimized crystal structure of Y2CdSi4Pt3.

a = 4.1981 Å, b = 4.1981 Å, c = 10.2542 Å
α = 90.00°, β = 90.00°, γ = 90.00°
With the nearest neighbours (Å) after each atom.
Fractional coordinates of all 10 atoms:
Y (0.5000, 0.0000, 0.2424)  8 Si 3.17-3.25, 6 Pt 3.23-3.37, 2 Cd 3.37
Y (0.0000, 0.5000, 0.7576)  8 Si 3.17-3.25, 6 Pt 3.23-3.37, 2 Cd 3.37
Cd (0.5000, 0.5000, 0.5000)  4 Si 2.60
Si (0.5000, 0.5000, 0.0000)  4 Pt 2.43
Si (0.0000, 0.0000, 0.0000)  4 Pt 2.43
Si (0.5000, 0.0000, 0.6497)  3 Pt 2.38-2.60, 2 Cd 2.60
Si (0.0000, 0.5000, 0.3503)  3 Pt 2.38-2.60, 2 Cd 2.60
Pt (0.0000, 0.0000, 0.5000)  4 Si 2.60
Pt (0.5000, 0.0000, 0.8814)  5 Si 2.38-2.43
Pt (0.0000, 0.5000, 0.1186)  5 Si 2.38-2.43

Results
As for the space group: P-4m2, No. 115. The calculation puts the density of states at the Fermi level at 3.51 states/eV/f.u. The uncorrected formation energy is -897 meV/atom.

(3)
DFT (PBE) results for an optimized crystal structure of Y2CdSi3Pt4.

a = 4.2027 Å, b = 4.2027 Å, c = 10.4520 Å
α = 90.00°, β = 90.00°, γ = 90.00°
With the nearest neighbours (Å) after each atom.
Fractional coordinates of all 10 atoms:
Y (0.5000, 0.0000, 0.2449)  8 Pt 3.15-3.31, 6 Si 3.23-3.39, 2 Cd 3.39
Y (0.0000, 0.5000, 0.7551)  8 Pt 3.15-3.31, 6 Si 3.23-3.39, 2 Cd 3.39
Cd (0.5000, 0.5000, 0.5000)  4 Pt 2.65
Si (0.0000, 0.0000, 0.5000)  4 Pt 2.65
Si (0.5000, 0.0000, 0.8757)  5 Pt 2.31-2.47
Si (0.0000, 0.5000, 0.1243)  5 Pt 2.31-2.47
Pt (0.5000, 0.5000, 0.0000)  4 Si 2.47
Pt (0.0000, 0.0000, 0.0000)  4 Si 2.47
Pt (0.5000, 0.0000, 0.6545)  1 Si 2.31
Pt (0.0000, 0.5000, 0.3455)  1 Si 2.31

Results
As for the space group: P-4m2, No. 115. The calculation puts the density of states at the Fermi level at 4.72 states/eV/f.u. The uncorrected formation energy is -943 meV/atom.

(4)
DFT (PBE) results for an optimized crystal structure of ZnCd2Si2Pt5.

a = 3.2517 Å, b = 10.0248 Å, c = 10.0248 Å
α = 90.00°, β = 90.00°, γ = 90.00°
With the nearest neighbours (Å) after each atom.
Fractional coordinates of all 20 atoms:
Zn (0.0000, 0.0000, 0.0000)  8 Pt 2.69
Zn (0.0000, 0.5000, 0.5000)  8 Pt 2.69
Cd (0.0000, 0.6796, 0.1796)  1 Si 2.66, 4 Pt 2.93
Cd (0.0000, 0.3204, 0.8204)  1 Si 2.66, 4 Pt 2.93
Cd (0.0000, 0.1796, 0.3204)  1 Si 2.66, 4 Pt 2.93
Cd (0.0000, 0.8204, 0.6796)  1 Si 2.66, 4 Pt 2.93
Si (0.0000, 0.1328, 0.6328)  6 Pt 2.45-2.49, 1 Cd 2.66
Si (0.0000, 0.8672, 0.3672)  6 Pt 2.45-2.49, 1 Cd 2.66
Si (0.0000, 0.6328, 0.8672)  6 Pt 2.45-2.49, 1 Cd 2.66
Si (0.0000, 0.3672, 0.1328)  6 Pt 2.45-2.49, 1 Cd 2.66
Pt (0.5000, 0.2106, 0.0376)  2 Si 2.45, 2 Zn 2.69
Pt (0.5000, 0.7894, 0.9624)  2 Si 2.45, 2 Zn 2.69
Pt (0.5000, 0.0376, 0.7894)  2 Si 2.45, 2 Zn 2.69
Pt (0.5000, 0.7106, 0.4624)  2 Si 2.45, 2 Zn 2.69
Pt (0.5000, 0.9624, 0.2106)  2 Si 2.45, 2 Zn 2.69
Pt (0.5000, 0.2894, 0.5376)  2 Si 2.45, 2 Zn 2.69
Pt (0.5000, 0.5376, 0.7106)  2 Si 2.45, 2 Zn 2.69
Pt (0.5000, 0.4624, 0.2894)  2 Si 2.45, 2 Zn 2.69
Pt (0.5000, 0.5000, 0.0000)  4 Si 2.49
Pt (0.5000, 0.0000, 0.5000)  4 Si 2.49

Results
As for the space group: P4/mbm, No. 127. The calculation puts the density of states at the Fermi level at 2.94 states/eV/f.u. The uncorrected formation energy is -421 meV/atom.

(5)
DFT (PBE) results for an optimized crystal structure of SmCdPt2.

a = 3.6552 Å, b = 4.6975 Å, c = 4.6975 Å
α = 90.00°, β = 90.00°, γ = 90.00°
With the nearest neighbours (Å) after each atom.
Fractional coordinates of all 4 atoms:
Sm (0.5000, 0.5000, 0.5000)  8 Pt 2.98, 4 Cd 3.32
Pt (0.0000, 0.0000, 0.5000)  4 Sm 2.98, 4 Cd 2.98, 4 Pt 3.32
Pt (0.0000, 0.5000, 0.0000)  4 Sm 2.98, 4 Cd 2.98, 4 Pt 3.32
Cd (0.5000, 0.0000, 0.0000)  8 Pt 2.98, 4 Sm 3.32

Results
As for the space group: P4/mmm, No. 123. The calculation puts the density of states at the Fermi level at 0.78 states/eV/f.u. The calculation puts the formation energy at -0.73 eV/atom.

(6)
DFT (PBE) results for an optimized crystal structure of SmCd2Pt6.

a = 6.4464 Å, b = 6.4464 Å, c = 6.4464 Å
α = 60.00°, β = 60.00°, γ = 60.00°
With the nearest neighbours (Å) after each atom.
Fractional coordinates of all 9 atoms:
Sm (0.0000, 0.0000, 0.0000)  6 Pt 2.64
Cd (0.2500, 0.2500, 0.2500)  12 Pt 3.24
Cd (0.7500, 0.7500, 0.7500)  12 Pt 3.24
Pt (0.7099, 0.7099, 0.2901)  1 Sm 2.64, 4 Pt 2.71
Pt (0.2901, 0.7099, 0.7099)  1 Sm 2.64, 4 Pt 2.71
Pt (0.2901, 0.7099, 0.2901)  1 Sm 2.64, 4 Pt 2.71
Pt (0.2901, 0.2901, 0.7099)  1 Sm 2.64, 4 Pt 2.71
Pt (0.7099, 0.2901, 0.2901)  1 Sm 2.64, 4 Pt 2.71
Pt (0.7099, 0.2901, 0.7099)  1 Sm 2.64, 4 Pt 2.71

Results
As for the space group: Fm-3m, No. 225. The calculation puts the density of states at the Fermi level at 9.10 states/eV/f.u. The calculation puts the formation energy at 0.17 eV/atom.

(7)
DFT (PBE) results for an optimized crystal structure of Sm8CdPt2.

a = 5.6601 Å, b = 8.1618 Å, c = 8.1618 Å
α = 114.95°, β = 97.91°, γ = 97.91°
With the nearest neighbours (Å) after each atom.
Fractional coordinates of all 11 atoms:
Sm (0.5742, 0.3325, 0.0831)  2 Pt 2.91-2.99
Sm (0.5742, 0.0831, 0.3325)  2 Pt 2.91-2.99
Sm (0.1925, 0.3948, 0.3948)  4 Sm 3.24-3.51, 2 Pt 3.24, 1 Cd 3.33
Sm (0.0000, 0.2488, 0.7571)  2 Pt 2.93
Sm (0.0000, 0.7571, 0.2488)  2 Pt 2.93
Sm (0.8077, 0.6117, 0.6117)  4 Sm 3.24-3.51, 2 Pt 3.24, 1 Cd 3.33
Sm (0.4256, 0.9229, 0.6736)  2 Pt 2.91-3.00
Sm (0.4256, 0.6736, 0.9229)  2 Pt 2.91-3.00
Cd (0.9998, 0.0034, 0.0034)  8 Sm 3.33-3.71
Pt (0.5000, 0.7012, 0.3050)  8 Sm 2.91-3.24
Pt (0.5000, 0.3050, 0.7012)  8 Sm 2.91-3.24

Results
As for the space group: C2/m, No. 12. The calculation puts the density of states at the Fermi level at 13.54 states/eV/f.u. The calculation puts the formation energy at -0.41 eV/atom.

(8)
DFT (PBE) results for an optimized crystal structure of Sm5CdPt.

a = 6.0496 Å, b = 6.0496 Å, c = 11.9855 Å
α = 78.63°, β = 78.63°, γ = 79.48°
With the nearest neighbours (Å) after each atom.
Fractional coordinates of all 14 atoms:
Sm (0.9187, 0.5705, 0.1285)  1 Pt 2.82, 1 Cd 3.15
Sm (0.2165, 0.5350, 0.5627)  1 Pt 2.90
Sm (0.5705, 0.9187, 0.6285)  1 Pt 2.82, 1 Cd 3.15
Sm (0.0037, 0.9963, 0.2500)  2 Pt 3.00, 1 Cd 3.11
Sm (0.4650, 0.7835, 0.9373)  1 Pt 2.90
Sm (0.5350, 0.2165, 0.0627)  1 Pt 2.90
Sm (0.9963, 0.0037, 0.7500)  2 Pt 3.00, 1 Cd 3.11
Sm (0.4295, 0.0813, 0.3715)  1 Pt 2.82, 1 Cd 3.15
Sm (0.7835, 0.4650, 0.4373)  1 Pt 2.90
Sm (0.0813, 0.4295, 0.8715)  1 Pt 2.82, 1 Cd 3.15
Cd (0.4053, 0.5947, 0.2500)  5 Sm 3.11-3.40
Cd (0.5947, 0.4053, 0.7500)  5 Sm 3.11-3.40
Pt (0.0000, 0.0000, 0.0000)  6 Sm 2.82-3.00
Pt (0.0000, 0.0000, 0.5000)  6 Sm 2.82-3.00

Results
As for the space group: C2/c, No. 15. The calculation puts the density of states at the Fermi level at 7.92 states/eV/f.u. The calculation puts the formation energy at -0.31 eV/atom.

(9)
DFT (PBE) results for an optimized crystal structure of Sm2CdPt.

a = 4.1100 Å, b = 4.1100 Å, c = 8.3093 Å
α = 75.68°, β = 75.68°, γ = 60.00°
With the nearest neighbours (Å) after each atom.
Fractional coordinates of all 4 atoms:
Sm (0.2658, 0.2658, 0.2026)  3 Pt 2.87
Sm (0.7342, 0.7342, 0.7974)  3 Pt 2.87
Pt (0.0000, 0.0000, 0.0000)  6 Sm 2.87
Cd (0.5000, 0.5000, 0.5000)  6 Sm 3.35

Results
As for the space group: R-3m, No. 166. The calculation puts the density of states at the Fermi level at 3.56 states/eV/f.u. The calculation puts the formation energy at -0.63 eV/atom. The energy above the most stable polymorph in this dataset is 0.0915 eV/atom.

(10)
DFT (PBE) results for an optimized crystal structure of Sm6CdPt2.

a = 8.7402 Å, b = 8.7402 Å, c = 8.7402 Å
α = 104.48°, β = 110.57°, γ = 113.49°
With the nearest neighbours (Å) after each atom.
Fractional coordinates of all 18 atoms:
Sm (0.5292, 0.7103, 0.8189)  3 Pt 3.05-3.20, 1 Cd 3.31
Sm (0.4708, 0.2897, 0.1811)  3 Pt 3.05-3.20, 1 Cd 3.31
Sm (0.1086, 0.2897, 0.8189)  3 Pt 3.05-3.20, 1 Cd 3.31
Sm (0.8914, 0.7103, 0.1811)  3 Pt 3.05-3.20, 1 Cd 3.31
Sm (0.8024, 0.7634, 0.5658)  1 Pt 2.90, 1 Cd 3.21
Sm (0.1976, 0.2366, 0.4342)  1 Pt 2.90, 1 Cd 3.21
Sm (0.1976, 0.7634, 0.9611)  1 Pt 2.90, 1 Cd 3.21
Sm (0.8024, 0.2366, 0.0389)  1 Pt 2.90, 1 Cd 3.21
Sm (0.6961, 0.3674, 0.6714)  3 Pt 2.82-3.07
Sm (0.3039, 0.6326, 0.3286)  3 Pt 2.82-3.07
Sm (0.3039, 0.9753, 0.6714)  3 Pt 2.82-3.07
Sm (0.6961, 0.0247, 0.3286)  3 Pt 2.82-3.07
Cd (0.0000, 0.5000, 0.5000)  12 Sm 3.44-3.76
Cd (0.0000, 0.0000, 0.0000)  8 Sm 3.21-3.31, 2 Pt 3.38
Pt (0.5000, 0.3675, 0.8675)  6 Sm 2.82-3.05, 1 Pt 2.84
Pt (0.5000, 0.6325, 0.1325)  6 Sm 2.82-3.05, 1 Pt 2.84
Pt (0.6600, 0.0000, 0.6600)  8 Sm 2.90-3.20, 1 Pt 3.19
Pt (0.3400, 0.0000, 0.3400)  8 Sm 2.90-3.20, 1 Pt 3.19

Results
As for the space group: Immm, No. 71. The calculation puts the density of states at the Fermi level at 9.00 states/eV/f.u. The calculation puts the formation energy at -0.63 eV/atom.

(11)
DFT (PBE) results for an optimized crystal structure of SmCd3Pt3.

a = 7.3084 Å, b = 7.3084 Å, c = 7.3084 Å
α = 90.00°, β = 90.00°, γ = 90.00°
With the nearest neighbours (Å) after each atom.
Fractional coordinates of all 14 atoms:
Sm (0.5000, 0.5000, 0.5000)  12 Cd 4.09, 12 Pt 4.09
Sm (0.0000, 0.0000, 0.0000)  12 Cd 4.09, 12 Pt 4.09
Pt (0.2500, 0.0000, 0.5000)  4 Cd 2.58
Pt (0.0000, 0.5000, 0.2500)  4 Cd 2.58
Pt (0.5000, 0.7500, 0.0000)  4 Cd 2.58
Pt (0.7500, 0.0000, 0.5000)  4 Cd 2.58
Pt (0.0000, 0.5000, 0.7500)  4 Cd 2.58
Pt (0.5000, 0.2500, 0.0000)  4 Cd 2.58
Cd (0.0000, 0.2500, 0.5000)  4 Pt 2.58
Cd (0.0000, 0.7500, 0.5000)  4 Pt 2.58
Cd (0.5000, 0.0000, 0.7500)  4 Pt 2.58
Cd (0.7500, 0.5000, 0.0000)  4 Pt 2.58
Cd (0.5000, 0.0000, 0.2500)  4 Pt 2.58
Cd (0.2500, 0.5000, 0.0000)  4 Pt 2.58

Results
As for the space group: Pm-3n, No. 223. The calculation puts the density of states at the Fermi level at 2.79 states/eV/f.u. The calculation puts the formation energy at 0.29 eV/atom.

(12)
DFT (PBE) results for an optimized crystal structure of Sm5Cd4Pt.

a = 3.7387 Å, b = 3.7387 Å, c = 19.0295 Å
α = 90.00°, β = 90.00°, γ = 90.00°
With the nearest neighbours (Å) after each atom.
Fractional coordinates of all 10 atoms:
Sm (0.5000, 0.5000, 0.0864)  4 Pt 3.11, 1 Sm 3.29, 4 Cd 3.34
Sm (0.5000, 0.5000, 0.2934)  8 Cd 3.25-3.29
Sm (0.5000, 0.5000, 0.5000)  8 Cd 3.30
Sm (0.5000, 0.5000, 0.7066)  8 Cd 3.25-3.29
Sm (0.5000, 0.5000, 0.9136)  4 Pt 3.11, 1 Sm 3.29, 4 Cd 3.34
Cd (0.0000, 0.0000, 0.1936)  8 Sm 3.25-3.34
Cd (0.0000, 0.0000, 0.3966)  8 Sm 3.29-3.30
Cd (0.0000, 0.0000, 0.6034)  8 Sm 3.29-3.30
Cd (0.0000, 0.0000, 0.8064)  8 Sm 3.25-3.34
Pt (0.0000, 0.0000, 0.0000)  8 Sm 3.11

Results
As for the space group: P4/mmm, No. 123. The calculation puts the density of states at the Fermi level at 9.58 states/eV/f.u. The calculation puts the formation energy at -0.48 eV/atom.